No. 1
VASP calculation (PBE-GGA) on a geometry-optimized TcHgBi2 structure.

```
TcHgBi2
1.0
-1.115 -0.447 6.610
2.621 -6.186 0.024
6.425 -0.908 4.436
Tc Bi Hg
2 4 2
direct
0.500 0.500 0.000
0.250 0.750 0.500
0.566 0.125 0.250
0.184 0.625 0.250
0.375 0.434 0.750
0.875 0.816 0.750
0.000 0.000 0.000
0.750 0.250 0.500
```

Results
- Crystal system: tetragonal
- Final energy: -31.35 eV per cell
- ρ: 8.42 g/cm3
- Formation energy from the elements: 689 meV per atom
- Space-group type: I-42d
- Calculated volume: 283 Å³/cell

=====

No. 2
VASP calculation (PBE-GGA) on a geometry-optimized ScAlSn2 structure.

```
ScAlSn2
1.0
-7.355 -2.940 -0.270
0.360 -0.173 -7.916
-2.369 -4.391 -3.980
Sc Sn Al
2 4 2
direct
0.000 0.000 0.000
0.750 0.250 0.500
0.598 0.125 0.250
0.152 0.625 0.250
0.375 0.402 0.750
0.875 0.848 0.750
0.500 0.500 0.000
0.250 0.750 0.500
```

Results
- Crystal system: tetragonal
- Final energy: -37.00 eV per cell
- ρ: 5.36 g/cm3
- Formation energy from the elements: -105 meV per atom
- Space-group type: I-42d
- Calculated volume: 192 Å³/cell

=====

No. 3
VASP calculation (PBE-GGA) on a geometry-optimized GaRuPb structure.

```
GaRuPb
1.0
3.932 0.000 0.000
0.000 9.959 0.000
0.000 0.000 5.923
Ga Ru Pb
4 4 4
direct
0.000 0.500 0.000
0.000 0.500 0.500
0.500 0.000 0.000
0.500 0.000 0.500
0.000 0.939 0.250
0.000 0.061 0.750
0.500 0.439 0.250
0.500 0.561 0.750
0.000 0.221 0.250
0.000 0.779 0.750
0.500 0.721 0.250
0.500 0.279 0.750
```

Results
- Crystal system: orthorhombic
- Final energy: -64.38 eV per cell
- ρ: 10.83 g/cm3
- Formation energy from the elements: -28 meV per atom
- Space-group type: Cmcm
- Calculated volume: 232 Å³/cell

=====

No. 4
VASP calculation (PBE-GGA) on a geometry-optimized Hg2Sb structure.

```
Hg2Sb
1.0
-3.426 2.842 -1.022
-2.045 -1.045 3.948
2.055 3.162 1.901
Hg Sb
2 1
direct
0.000 0.500 0.500
0.500 0.000 0.500
0.000 0.000 0.000
```

Results
- Crystal system: tetragonal
- Final energy: -4.21 eV per cell
- ρ: 9.86 g/cm3
- Offset from the most stable computed form: 0.074 eV per atom
- Space-group type: P4/mmm
- Calculated volume: 88 Å³/cell

=====

No. 5
VASP calculation (PBE-GGA) on a geometry-optimized Ge6Ir3Pt structure.

```
Ge6Ir3Pt
1.0
3.075 0.000 0.000
0.000 10.174 -2.527
0.000 0.926 10.642
Ge Ir Pt
12 6 2
direct
0.750 0.463 0.613
0.250 0.537 0.387
0.750 0.964 0.106
0.250 0.036 0.894
0.750 0.429 0.076
0.250 0.571 0.924
0.750 0.759 0.313
0.250 0.241 0.687
0.750 0.120 0.469
0.250 0.880 0.531
0.750 0.790 0.772
0.250 0.210 0.228
0.750 0.393 0.830
0.250 0.607 0.170
0.750 0.683 0.545
0.250 0.317 0.455
0.750 0.193 0.041
0.250 0.807 0.959
0.750 0.023 0.693
0.250 0.977 0.307
```

Results
- Crystal system: monoclinic
- Final energy: -124.52 eV per cell
- ρ: 11.79 g/cm3
- Formation energy from the elements: -193 meV per atom
- Offset from the most stable computed form: 0.063 eV per atom
- Space-group type: P2_1/m
- Calculated volume: 340 Å³/cell

=====

No. 6
VASP calculation (PBE-GGA) on a geometry-optimized MgSn3S structure.

```
MgSn3S
1.0
-3.441 3.543 2.055
0.529 -2.277 4.812
4.062 3.299 1.114
Mg S Sn
1 1 3
direct
0.500 0.500 0.500
0.000 0.000 0.000
0.000 0.500 0.000
0.000 0.000 0.500
0.500 0.000 0.000
```

Results
- Crystal system: cubic
- Final energy: -16.52 eV per cell
- ρ: 4.47 g/cm3
- Offset from the most stable computed form: 0.000 eV per atom
- Space-group type: Pm-3m
- Calculated volume: 153 Å³/cell

=====

No. 7
VASP calculation (PBE-GGA) on a geometry-optimized HfNbCu3 structure.

```
HfNbCu3
1.0
-4.525 -0.492 -0.703
-0.588 -0.970 4.464
-0.625 4.476 0.891
Nb Hf Cu
1 1 3
direct
0.000 0.000 0.000
0.500 0.500 0.500
0.000 0.500 0.000
0.000 0.000 0.500
0.500 0.000 0.000
```

Results
- Crystal system: cubic
- Final energy: -26.26 eV per cell
- ρ: 7.85 g/cm3
- Formation energy from the elements: 1211 meV per atom
- Offset from the most stable computed form: 0.000 eV per atom
- Space-group type: Pm-3m
- Calculated volume: 98 Å³/cell

=====

No. 8
VASP calculation (PBE-GGA) on a geometry-optimized ErAl2Pd3 structure.

```
ErAl2Pd3
1.0
-3.640 -2.384 0.076
3.747 -1.791 -1.301
2.493 -3.428 11.901
Er Al Pd
2 4 6
direct
0.000 0.000 0.250
0.000 0.000 0.750
0.667 0.333 0.424
0.333 0.667 0.576
0.333 0.667 0.924
0.667 0.333 0.076
0.000 0.000 0.500
0.000 0.000 0.000
0.667 0.333 0.629
0.333 0.667 0.129
0.667 0.333 0.871
0.333 0.667 0.371
```

Results
- Crystal system: hexagonal
- Final energy: -66.55 eV per cell
- ρ: 8.66 g/cm3
- Formation energy from the elements: -942 meV per atom
- Space-group type: P6_3/mmc
- Calculated volume: 207 Å³/cell